The following is a PBE calculation of CrCoTe2 after structural relaxation, from Alexandria via LeMat-Bulk.

abc: 3.474 3.681 12.464
angles: 90.00 90.00 90.00
Space group Imm2 (No. 44)
Asymmetric unit:
Cr: 0.000 0.000 0.000
Co: 0.000 0.500 0.275
Te: 0.000 0.000 0.600
Te: 0.000 0.500 0.838

Computed properties:
Uncorrected formation energy: 22.6 kJ per mole of atoms